No. 1
VASP calculation (PBE-GGA) on a geometry-optimized NdAgHg structure.

abc: 5.607 5.607 5.607
angles: 139.19 139.19 59.09
Atoms (fractional coordinates):
Nd1 0.000 0.000 0.000
Ag1 0.327 0.327 0.000
Hg1 0.673 0.673 0.000

## Properties
The space-group type is I4mm, No. 107. The formation energy is -313.4 meV/atom. The value obtained for the density of states at the Fermi level is 1.39 states/eV per cell. Its calculated density is 10.08 g cm⁻³. Its total energy is -2.954 eV per atom.


No. 2
VASP calculation (PBE-GGA) on a geometry-optimized Pm6Sm6Er structure.

abc: 6.752 6.752 11.501
angles: 90.00 90.00 120.00
Atoms (fractional coordinates):
Pm1 0.000 0.000 0.152
Pm2 0.000 0.000 0.848
Pm3 0.333 0.667 0.000
Pm4 0.333 0.667 0.500
Pm5 0.667 0.333 0.000
Pm6 0.667 0.333 0.500
Sm1 0.000 0.500 0.252
Sm2 0.000 0.500 0.748
Sm3 0.500 0.000 0.252
Sm4 0.500 0.000 0.748
Sm5 0.500 0.500 0.252
Sm6 0.500 0.500 0.748
Er1 0.000 0.000 0.500

## Properties
The space-group type is P6/mmm, No. 191. The formation energy is 287.1 meV/atom. The value obtained for the density of states at the Fermi level is 26.43 states/eV per cell. Its calculated density is 7.09 g cm⁻³. Its total energy is -4.435 eV per atom.


> Among the records above, which one has the highest calculated density?

NdAgHg


What did the second record say?
VASP calculation (PBE-GGA) on a geometry-optimized Pm6Sm6Er structure.

abc: 6.752 6.752 11.501
angles: 90.00 90.00 120.00
Atoms (fractional coordinates):
Pm1 0.000 0.000 0.152
Pm2 0.000 0.000 0.848
Pm3 0.333 0.667 0.000
Pm4 0.333 0.667 0.500
Pm5 0.667 0.333 0.000
Pm6 0.667 0.333 0.500
Sm1 0.000 0.500 0.252
Sm2 0.000 0.500 0.748
Sm3 0.500 0.000 0.252
Sm4 0.500 0.000 0.748
Sm5 0.500 0.500 0.252
Sm6 0.500 0.500 0.748
Er1 0.000 0.000 0.500

## Properties
The space-group type is P6/mmm, No. 191. The formation energy is 287.1 meV/atom. The value obtained for the density of states at the Fermi level is 26.43 states/eV per cell. Its calculated density is 7.09 g cm⁻³. Its total energy is -4.435 eV per atom.


> Which value of calculated density does entry 2 give?

7.09 g cm⁻³


> Which value of calculated density does entry 1 give?

10.08 g cm⁻³